# 1
The following is a PBE-GGA calculation of a relaxed structure of Rb3Ga2Pb4, from the Alexandria database.

The structure belongs to space group C2/c (No. 15); the cell edges are 17.023, 11.395 and 7.557 Å and the angles 90.00°, 110.61° and 90.00°. The distinct sites, in fractional coordinates, are Rb at (0.000, 0.033, 0.250), Rb at (0.108, 0.387, 0.116), Ga at (0.218, 0.141, 0.435), Pb at (0.131, 0.264, 0.654) and Pb at (0.207, 0.102, 0.049).

The calculation puts the calculated formation energy at -0.11 eV/atom. Its crystal system is monoclinic. The theoretical density comes out at 5.93 g/cm3.

=====

# 2
The following is a PBE-GGA calculation of a relaxed structure of Cu2HgGe2, from the Alexandria database.

The structure belongs to space group P4/mbm (No. 127); the cell edges are 7.892, 7.892 and 2.783 Å and the angles 90.00°, 90.00° and 90.00°. The distinct sites, in fractional coordinates, are Cu at (0.166, 0.334, 0.000), Hg at (0.000, 0.000, 0.500) and Ge at (0.127, 0.627, 0.500).

The calculation puts the calculated formation energy at 0.22 eV/atom. Its crystal system is tetragonal. The calculation puts the polymorph energy (0 for the lowest one) at 0.002 eV per atom. The theoretical density comes out at 9.06 g/cm3.

=====

# 3
The following is a PBE-GGA calculation of a relaxed structure of Sm8CuRh3Br4, from the Alexandria database.

The structure belongs to space group C2/m (No. 12); the cell edges are 14.191, 8.194 and 9.065 Å and the angles 90.00°, 121.52° and 90.00°. The distinct sites, in fractional coordinates, are Sm at (0.020, 0.246, 0.305), Sm at (0.233, 0.000, 0.698), Sm at (0.234, 0.500, 0.695), Cu at (0.000, 0.500, 0.500), Rh at (0.000, 0.000, 0.500), Rh at (0.250, 0.250, 0.500), Br at (0.000, 0.000, 0.000), Br at (0.000, 0.500, 0.000) and Br at (0.250, 0.250, 0.000).

As for the uncorrected formation energy: -15.6 eV/f.u. Its crystal system is monoclinic. The theoretical density comes out at 7.00 g/cm3.

=====

# 4
The following is a PBE-GGA calculation of a relaxed structure of SrCuS, from the Alexandria database.

The structure belongs to space group Immm (No. 71); the cell edges are 4.089, 4.742 and 14.440 Å and the angles 90.00°, 90.00° and 90.00°. The distinct sites, in fractional coordinates, are Sr at (0.000, 0.000, 0.149), Cu at (0.000, 0.252, 0.500) and S at (0.000, 0.000, 0.355).

As for the uncorrected formation energy: -3.1 eV/f.u. Its crystal system is orthorhombic. The theoretical density comes out at 4.35 g/cm3.

=====

# 5
The following is a PBE-GGA calculation of a relaxed structure of Ga6Pd5Au, from the Alexandria database.

The structure belongs to space group C2/m (No. 12); the cell edges are 4.412, 13.408 and 6.270 Å and the angles 90.00°, 90.79° and 90.00°. The distinct sites, in fractional coordinates, are Ga at (0.000, 0.000, 0.247), Ga at (0.001, 0.329, 0.244), Pd at (0.000, 0.160, 0.000), Pd at (0.000, 0.170, 0.500), Pd at (0.000, 0.500, 0.000) and Au at (0.000, 0.500, 0.500).

The calculation puts the calculated formation energy at -0.49 eV/atom. Its crystal system is monoclinic. The theoretical density comes out at 10.27 g/cm3.

=====

# 6
The following is a PBE-GGA calculation of a relaxed structure of MgScPt2, from the Alexandria database.

The structure belongs to space group I-4m2 (No. 119); the cell edges are 3.889, 3.889 and 8.928 Å and the angles 90.00°, 90.00° and 90.00°. The distinct sites, in fractional coordinates, are Mg at (0.000, 0.000, 0.000), Sc at (0.000, 0.500, 0.750), Pt at (0.000, 0.000, 0.500) and Pt at (0.000, 0.500, 0.250).

The calculation puts the calculated formation energy at -0.99 eV/atom. Its crystal system is tetragonal. The theoretical density comes out at 11.30 g/cm3.

=====

# 7
The following is a PBE-GGA calculation of a relaxed structure of SbPb2Au, from the Alexandria database.

The structure belongs to space group Cm (No. 8); the cell edges are 12.204, 3.729 and 5.314 Å and the angles 90.00°, 114.74° and 90.00°. The distinct sites, in fractional coordinates, are Sb at (0.000, 0.000, 0.000), Pb at (0.204, 0.000, 0.707), Pb at (0.416, 0.000, 0.416) and Au at (0.197, 0.500, 0.201).

As for the uncorrected formation energy: 0.0 eV/f.u. Its crystal system is monoclinic. The theoretical density comes out at 11.09 g/cm3.

=====

# 8
The following is a PBE-GGA calculation of a relaxed structure of AcTb7Tm12, from the Alexandria database.

The structure belongs to space group Im-3m (No. 229); the cell edges are 11.203, 11.203 and 11.203 Å and the angles 90.00°, 90.00° and 90.00°. The distinct sites, in fractional coordinates, are Ac at (0.000, 0.000, 0.000), Tb at (0.000, 0.000, 0.500), Tb at (0.250, 0.250, 0.250) and Tm at (0.000, 0.262, 0.262).

The calculation puts the calculated formation energy at 0.69 eV/atom. Its crystal system is cubic. The theoretical density comes out at 7.95 g/cm3.

=====

# 9
The following is a PBE-GGA calculation of a relaxed structure of TlCd4Pd5, from the Alexandria database.

The structure belongs to space group P4/mmm (No. 123); the cell edges are 3.332, 3.332 and 16.133 Å and the angles 90.00°, 90.00° and 90.00°. The distinct sites, in fractional coordinates, are Tl at (0.000, 0.000, 0.000), Cd at (0.000, 0.000, 0.206), Cd at (0.000, 0.000, 0.402), Pd at (0.500, 0.500, 0.106), Pd at (0.500, 0.500, 0.304) and Pd at (0.500, 0.500, 0.500).

The calculation puts the calculated formation energy at -0.34 eV/atom. Its crystal system is tetragonal. The theoretical density comes out at 11.00 g/cm3.

=====

# 10
The following is a PBE-GGA calculation of a relaxed structure of Cs5Ho2O5, from the Alexandria database.

The structure belongs to space group C2/m (No. 12); the cell edges are 16.776, 4.028 and 11.659 Å and the angles 90.00°, 93.03° and 90.00°. The distinct sites, in fractional coordinates, are Cs at (0.000, 0.000, 0.000), Cs at (0.145, 0.000, 0.449), Cs at (0.225, 0.000, 0.800), Ho at (0.051, 0.500, 0.672), O at (0.000, 0.500, 0.500), O at (0.033, 0.000, 0.748) and O at (0.173, 0.500, 0.643).

As for the uncorrected formation energy: -23.7 eV/f.u. Its crystal system is monoclinic. The theoretical density comes out at 4.53 g/cm3.

=====

# 11
The following is a PBE-GGA calculation of a relaxed structure of InAg3, from the Alexandria database.

The structure belongs to space group Pm-3m (No. 221); the cell edges are 5.346, 5.346 and 5.346 Å and the angles 90.00°, 90.00° and 90.00°. The distinct sites, in fractional coordinates, are In at (0.000, 0.000, 0.000) and Ag at (0.000, 0.000, 0.500).

The calculation puts the calculated formation energy at 0.75 eV/atom. Its crystal system is cubic. The theoretical density comes out at 4.76 g/cm3.

=====

# 12
The following is a PBE-GGA calculation of a relaxed structure of PmPr7Cd4, from the Alexandria database.

The structure belongs to space group C2/m (No. 12); the cell edges are 15.184, 5.938 and 10.084 Å and the angles 90.00°, 122.12° and 90.00°. The distinct sites, in fractional coordinates, are Pm at (0.000, 0.000, 0.000), Pr at (0.000, 0.500, 0.000), Pr at (0.069, 0.000, 0.409), Pr at (0.204, 0.000, 0.883), Pr at (0.236, 0.500, 0.692), Cd at (0.040, 0.500, 0.713) and Cd at (0.182, 0.500, 0.343).

The calculation puts the calculated formation energy at -0.04 eV/atom. Its crystal system is monoclinic. The theoretical density comes out at 6.82 g/cm3.